1.
Material: RbNa2CdHg
Method: DFT, PBE
State: optimized geometry

Properties
For the total energy, the calculation gives -0.9886 eV/atom. The volume is 210.6 Å³/cell. The value obtained for the energy above the lowest structure with this stoichiometry is 17 meV/atom.

POSCAR file:
```
RbNa2CdHg
1.0
5.963 0.000 0.000
0.000 5.963 0.000
0.000 0.000 5.923
Rb Na Cd Hg
1 2 1 1
direct
0.000 0.000 0.000
0.000 0.500 0.500
0.500 0.000 0.500
0.500 0.500 0.500
0.500 0.500 0.000
```

2.
Material: Sm2ThSe
Method: DFT, PBE
State: optimized geometry

Properties
For the total energy, the calculation gives -5.5950 eV/atom. The value obtained for the formation energy (no corrections) is -0.509 eV per atom. The volume is 127.7 Å³/cell. The value obtained for the energy above the lowest structure with this stoichiometry is 207 meV/atom.

POSCAR file:
```
Sm2ThSe
1.0
1.864 1.076 10.611
-1.864 1.076 10.611
0.000 -2.152 10.611
Sm Th Se
2 1 1
direct
0.107 0.107 0.107
0.893 0.893 0.893
0.000 0.000 0.000
0.500 0.500 0.500
```

3.
Material: Al2CdCo
Method: DFT, PBE
State: optimized geometry

Properties
For the total energy, the calculation gives -3.9172 eV/atom. The volume is 62.5 Å³/cell.

POSCAR file:
```
Al2CdCo
1.0
3.205 0.000 0.000
0.000 3.205 0.000
0.000 0.000 6.081
Al Cd Co
2 1 1
direct
0.000 0.000 0.000
0.500 0.500 0.258
0.000 0.000 0.550
0.500 0.500 0.851
```